# 1
A relaxed structure of MgBi2N. Source: Alexandria via LeMat-Bulk, functional PBE.

The value obtained for the total DFT energy (no corrections) is -3.4197 eV per atom. The calculation puts the energy above the most stable polymorph in this dataset at 450 meV per atom. For the magnetic moment, the calculation gives 0.001 μB per cell.

The structure belongs to space group Fm-3m (No. 225); the cell edges are 7.041, 7.041 and 7.041 Å and the angles 90.00°, 90.00° and 90.00°. The asymmetric unit holds Mg at (0.000, 0.000, 0.000), Bi at (0.250, 0.250, 0.250) and N at (0.000, 0.000, 0.500).

=====

# 2
A relaxed structure of Mg2Bi2N. Source: Alexandria via LeMat-Bulk, functional PBE.

The value obtained for the total DFT energy (no corrections) is -2.8764 eV per atom. The calculation puts the energy above the most stable polymorph in this dataset at 405 meV per atom. For the magnetic moment, the calculation gives 0.000 μB per cell.

The structure belongs to space group I4/mmm (No. 139); the cell edges are 3.719, 3.719 and 16.984 Å and the angles 90.00°, 90.00° and 90.00°. The asymmetric unit holds Mg at (0.000, 0.500, 0.250), Bi at (0.000, 0.000, 0.086) and N at (0.000, 0.000, 0.500).